1.
! Ac3AlAg3, optimized geometry, DFT PBE; values from VASP
! - Size of the total moment: 0.000 μB per atom
! - Density of states at the Fermi level: 14.0 states/eV per cell
! - Space group: No. 12
! - Crystal system: monoclinic
&SYSTEM
  ibrav = 0, nat = 14, ntyp = 3
/
ATOMIC_SPECIES
Ac 227.00 Ac.upf
Al 26.98 Al.upf
Ag 107.87 Ag.upf
CELL_PARAMETERS angstrom
4.592 0.000 0.692
2.268 5.835 0.530
0.014 -0.049 15.497
ATOMIC_POSITIONS crystal
Ac 0.533 0.321 0.612
Ac 0.467 0.679 0.388
Ac 0.247 0.270 0.236
Ac 0.753 0.730 0.764
Ac 0.397 0.288 0.919
Ac 0.603 0.712 0.081
Al 0.752 0.094 0.401
Al 0.248 0.906 0.599
Ag 0.859 0.741 0.541
Ag 0.141 0.259 0.459
Ag 0.110 0.859 0.922
Ag 0.890 0.141 0.078
Ag 0.953 0.854 0.240
Ag 0.047 0.146 0.760

=====

2.
! Ac3AlAg3, optimized geometry, DFT PBE; values from VASP
! - Size of the total moment: 0.000 μB per atom
! - Density of states at the Fermi level: 12.8 states/eV per cell
! - Space group: No. 176
! - Crystal system: hexagonal
&SYSTEM
  ibrav = 0, nat = 14, ntyp = 3
/
ATOMIC_SPECIES
Ac 227.00 Ac.upf
Al 26.98 Al.upf
Ag 107.87 Ag.upf
CELL_PARAMETERS angstrom
6.245 0.000 0.000
0.000 9.407 0.000
0.000 -4.704 8.147
ATOMIC_POSITIONS crystal
Ac 0.750 0.678 0.587
Ac 0.750 0.413 0.091
Ac 0.750 0.909 0.322
Ac 0.250 0.322 0.413
Ac 0.250 0.587 0.909
Ac 0.250 0.091 0.678
Al 0.250 0.667 0.333
Al 0.750 0.333 0.667
Ag 0.250 0.727 0.646
Ag 0.250 0.354 0.081
Ag 0.250 0.919 0.273
Ag 0.750 0.273 0.354
Ag 0.750 0.646 0.919
Ag 0.750 0.081 0.727

=====

Which is most stable, and by how much? 1, by 0.244 eV/atom.

=====

1.
! Ac6Al2Ag, optimized geometry, DFT PBE; values from VASP
! - Size of the total moment: 0.000 μB per atom
! - Density of states at the Fermi level: 21.0 states/eV per cell
! - Space group: No. 71
! - Crystal system: orthorhombic
&SYSTEM
  ibrav = 0, nat = 18, ntyp = 3
/
ATOMIC_SPECIES
Ac 227.00 Ac.upf
Al 26.98 Al.upf
Ag 107.87 Ag.upf
CELL_PARAMETERS angstrom
-2.031 6.955 -6.150
0.027 -8.319 -4.594
-6.460 -0.684 6.937
ATOMIC_POSITIONS crystal
Ac 0.560 0.736 0.824
Ac 0.440 0.264 0.176
Ac 0.089 0.264 0.824
Ac 0.911 0.736 0.176
Ac 0.804 0.748 0.552
Ac 0.196 0.252 0.448
Ac 0.196 0.748 0.944
Ac 0.804 0.252 0.056
Ac 0.707 0.383 0.675
Ac 0.293 0.617 0.325
Ac 0.293 0.968 0.675
Ac 0.707 0.032 0.325
Al 0.500 0.384 0.884
Al 0.500 0.616 0.116
Al 0.633 0.000 0.633
Al 0.367 0.000 0.367
Ag 0.000 0.500 0.500
Ag 0.000 0.000 0.000

=====

2.
! Ac6Al2Ag, optimized geometry, DFT PBE; values from VASP
! - Size of the total moment: 0.000 μB per atom
! - Density of states at the Fermi level: 22.1 states/eV per cell
! - Space group: No. 14
! - Crystal system: monoclinic
&SYSTEM
  ibrav = 0, nat = 18, ntyp = 3
/
ATOMIC_SPECIES
Ac 227.00 Ac.upf
Al 26.98 Al.upf
Ag 107.87 Ag.upf
CELL_PARAMETERS angstrom
6.933 0.000 0.533
0.000 9.188 0.000
-0.128 0.000 10.483
ATOMIC_POSITIONS crystal
Ac 0.867 0.960 0.221
Ac 0.872 0.666 0.562
Ac 0.891 0.682 0.934
Ac 0.609 0.182 0.566
Ac 0.628 0.166 0.938
Ac 0.633 0.460 0.279
Ac 0.133 0.040 0.779
Ac 0.128 0.334 0.438
Ac 0.109 0.318 0.066
Ac 0.391 0.818 0.434
Ac 0.372 0.834 0.062
Ac 0.367 0.540 0.721
Al 0.927 0.373 0.752
Al 0.573 0.873 0.748
Al 0.427 0.127 0.252
Al 0.073 0.627 0.248
Ag 0.500 0.500 0.000
Ag 0.000 0.000 0.500

=====

Which is most stable, and by how much? 1, by 0.062 eV/atom.

=====

1.
! Ac2Al2Ag, optimized geometry, DFT PBE; values from VASP
! - Size of the total moment: 0.000 μB per atom
! - Density of states at the Fermi level: 8.4 states/eV per cell
! - Space group: No. 12
! - Crystal system: monoclinic
&SYSTEM
  ibrav = 0, nat = 10, ntyp = 3
/
ATOMIC_SPECIES
Ac 227.00 Ac.upf
Al 26.98 Al.upf
Ag 107.87 Ag.upf
CELL_PARAMETERS angstrom
4.925 0.000 0.000
2.463 5.675 -0.192
2.463 0.554 10.189
ATOMIC_POSITIONS crystal
Ac 0.687 0.299 0.326
Ac 0.914 0.278 0.893
Ac 0.313 0.701 0.674
Ac 0.086 0.722 0.107
Al 0.081 0.281 0.556
Al 0.619 0.873 0.889
Al 0.919 0.719 0.444
Al 0.381 0.127 0.111
Ag 0.624 0.106 0.646
Ag 0.376 0.894 0.354

=====

2.
! Ac2Al2Ag, optimized geometry, DFT PBE; values from VASP
! - Size of the total moment: 0.000 μB per atom
! - Density of states at the Fermi level: 6.0 states/eV per cell
! - Space group: No. 12
! - Crystal system: monoclinic
&SYSTEM
  ibrav = 0, nat = 10, ntyp = 3
/
ATOMIC_SPECIES
Ac 227.00 Ac.upf
Al 26.98 Al.upf
Ag 107.87 Ag.upf
CELL_PARAMETERS angstrom
-2.135 -3.000 3.288
-0.637 -2.372 -6.285
8.763 -2.180 3.702
ATOMIC_POSITIONS crystal
Ac 0.646 0.292 0.014
Ac 0.388 0.777 0.604
Ac 0.354 0.708 0.986
Ac 0.612 0.223 0.396
Al 0.962 0.924 0.847
Al 0.903 0.806 0.337
Al 0.038 0.076 0.153
Al 0.097 0.194 0.663
Ag 0.275 0.550 0.265
Ag 0.725 0.450 0.735

=====

Which is most stable, and by how much? 1, by 0.029 eV/atom.